# Tb2Al4Zn3Ag | Alexandria | PBE | optimized geometry
# ΔH_f (0 K) (eV/atom): -0.3673
data_Tb2Al4Zn3Ag
_symmetry_space_group_name_H-M 'P -4 m 2'
_symmetry_Int_Tables_number 115
_cell_length_a 4.1919
_cell_length_b 4.1919
_cell_length_c 10.8320
_cell_angle_alpha 90.00
_cell_angle_beta 90.00
_cell_angle_gamma 90.00
loop_
_symmetry_equiv_pos_as_xyz
'x,y,z'
'y,-x,-z'
'-x,-y,z'
'-y,x,-z'
'-x,y,z'
'-y,-x,-z'
'x,-y,z'
'y,x,-z'
loop_
_atom_site_label
_atom_site_fract_x
_atom_site_fract_y
_atom_site_fract_z
Tb1 0.0000 0.5000 0.2445
Al1 0.0000 0.0000 0.0000
Al2 0.0000 0.5000 0.6381
Al3 0.5000 0.5000 0.0000
Zn1 0.0000 0.5000 0.8623
Zn2 0.5000 0.5000 0.5000
Ag1 0.0000 0.0000 0.5000

# TbAl2ZnAg4 | Alexandria | PBE | optimized geometry
# ΔH_f (0 K) (eV/atom): -0.1623
data_TbAl2ZnAg4
_symmetry_space_group_name_H-M 'R -3 m'
_symmetry_Int_Tables_number 166
_symmetry_space_group_name_Hall '-R 3 2"'
_cell_length_a 4.4980
_cell_length_b 4.4980
_cell_length_c 25.7933
_cell_angle_alpha 90.00
_cell_angle_beta 90.00
_cell_angle_gamma 120.00
loop_
_atom_site_label
_atom_site_fract_x
_atom_site_fract_y
_atom_site_fract_z
Tb1 0.0000 0.0000 0.0000
Al1 0.0000 0.0000 0.2491
Zn1 0.0000 0.0000 0.5000
Ag1 0.0000 0.0000 0.1324
Ag2 0.0000 0.0000 0.3977

# Tb4AlZnAg2 | Alexandria | PBE | optimized geometry
# ΔH_f (0 K) (eV/atom): -0.3224
data_Tb4AlZnAg2
_symmetry_space_group_name_H-M 'R -3 m'
_symmetry_Int_Tables_number 166
_symmetry_space_group_name_Hall '-R 3 2"'
_cell_length_a 5.1495
_cell_length_b 5.1495
_cell_length_c 25.1875
_cell_angle_alpha 90.00
_cell_angle_beta 90.00
_cell_angle_gamma 120.00
loop_
_atom_site_label
_atom_site_fract_x
_atom_site_fract_y
_atom_site_fract_z
Tb1 0.0000 0.0000 0.1233
Tb2 0.0000 0.0000 0.3734
Al1 0.0000 0.0000 0.5000
Zn1 0.0000 0.0000 0.0000
Ag1 0.0000 0.0000 0.2478

# TbAlZnAg6 | Alexandria | PBE | optimized geometry
# ΔH_f (0 K) (eV/atom): 0.0471
data_TbAlZnAg6
_symmetry_space_group_name_H-M 'I m m a'
_symmetry_Int_Tables_number 74
_symmetry_space_group_name_Hall '-I 2b 2'
_cell_length_a 7.4119
_cell_length_b 9.0473
_cell_length_c 10.9442
_cell_angle_alpha 90.00
_cell_angle_beta 90.00
_cell_angle_gamma 90.00
loop_
_atom_site_label
_atom_site_fract_x
_atom_site_fract_y
_atom_site_fract_z
Tb1 0.0000 0.2500 0.2040
Al1 0.2500 0.2500 0.7500
Zn1 0.0000 0.0000 0.0000
Ag1 0.0000 0.2500 0.5095
Ag2 0.0000 0.2500 0.9076
Ag3 0.1918 0.0106 0.3716

# TbAl3ZnAg | Alexandria | PBE | optimized geometry
# ΔH_f (0 K) (eV/atom): -0.0742
data_TbAl3ZnAg
_symmetry_space_group_name_H-M 'C m c m'
_symmetry_Int_Tables_number 63
_symmetry_space_group_name_Hall '-C 2c 2'
_cell_length_a 5.9611
_cell_length_b 12.7785
_cell_length_c 6.2696
_cell_angle_alpha 90.00
_cell_angle_beta 90.00
_cell_angle_gamma 90.00
loop_
_atom_site_label
_atom_site_fract_x
_atom_site_fract_y
_atom_site_fract_z
Tb1 0.0000 0.1921 0.2500
Al1 0.0000 0.3713 0.7500
Al2 0.2182 0.0000 0.0000
Zn1 0.0000 0.4084 0.2500
Ag1 0.0000 0.1594 0.7500

# Al2TcAg | Alexandria | PBE | optimized geometry
# ΔH_f (0 K) (eV/atom): -0.1027
data_Al2TcAg
_symmetry_space_group_name_H-M 'C m m m'
_symmetry_Int_Tables_number 65
_symmetry_space_group_name_Hall '-C 2 2'
_cell_length_a 3.0956
_cell_length_b 4.7496
_cell_length_c 8.5642
_cell_angle_alpha 90.00
_cell_angle_beta 90.00
_cell_angle_gamma 90.00
loop_
_atom_site_label
_atom_site_fract_x
_atom_site_fract_y
_atom_site_fract_z
Al1 0.0000 0.0000 0.2327
Tc1 0.0000 0.5000 0.0000
Ag1 0.0000 0.5000 0.5000

# AlTcAg4 | Alexandria | PBE | optimized geometry
# ΔH_f (0 K) (eV/atom): 0.5957
data_AlTcAg4
_symmetry_space_group_name_H-M 'F -4 3 m'
_symmetry_Int_Tables_number 216
_symmetry_space_group_name_Hall 'F -4 2 3'
_cell_length_a 7.6033
_cell_length_b 7.6033
_cell_length_c 7.6033
_cell_angle_alpha 90.00
_cell_angle_beta 90.00
_cell_angle_gamma 90.00
loop_
_atom_site_label
_atom_site_fract_x
_atom_site_fract_y
_atom_site_fract_z
Al1 0.0000 0.0000 0.0000
Tc1 0.2500 0.2500 0.7500
Ag1 0.1249 0.1249 0.3751

# AlTcAg2 | Alexandria | PBE | optimized geometry
# ΔH_f (0 K) (eV/atom): 0.3208
data_AlTcAg2
_symmetry_space_group_name_H-M 'P 4/m m m'
_symmetry_Int_Tables_number 123
_symmetry_space_group_name_Hall '-P 4 2'
_cell_length_a 2.7503
_cell_length_b 2.7503
_cell_length_c 8.5197
_cell_angle_alpha 90.00
_cell_angle_beta 90.00
_cell_angle_gamma 90.00
loop_
_atom_site_label
_atom_site_fract_x
_atom_site_fract_y
_atom_site_fract_z
Al1 0.0000 0.0000 0.0000
Tc1 0.0000 0.0000 0.5000
Ag1 0.5000 0.5000 0.2397

# Al2TcAg | Alexandria | PBE | optimized geometry
# ΔH_f (0 K) (eV/atom): -0.0345
data_Al2TcAg
_symmetry_space_group_name_H-M 'P 1 2/m 1'
_symmetry_Int_Tables_number 10
_cell_length_a 4.6993
_cell_length_b 2.7956
_cell_length_c 5.1708
_cell_angle_alpha 90.00
_cell_angle_beta 113.96
_cell_angle_gamma 90.00
loop_
_symmetry_equiv_pos_as_xyz
'x,y,z'
'-x,-y,-z'
'-x,y,-z'
'x,-y,z'
loop_
_atom_site_label
_atom_site_fract_x
_atom_site_fract_y
_atom_site_fract_z
Al1 0.0000 0.0000 0.0000
Al2 0.0000 0.5000 0.5000
Tc1 0.5000 0.0000 0.5000
Ag1 0.5000 0.5000 0.0000

# Al6TcAg | Alexandria | PBE | optimized geometry
# ΔH_f (0 K) (eV/atom): 0.0210
data_Al6TcAg
_symmetry_space_group_name_H-M 'C 1 2/m 1'
_symmetry_Int_Tables_number 12
_cell_length_a 7.6128
_cell_length_b 5.2332
_cell_length_c 7.6720
_cell_angle_alpha 90.00
_cell_angle_beta 110.79
_cell_angle_gamma 90.00
loop_
_symmetry_equiv_pos_as_xyz
'x,y,z'
'-x,-y,-z'
'-x,y,-z'
'x,-y,z'
'x+1/2,y+1/2,z'
'-x+1/2,-y+1/2,-z'
'-x+1/2,y+1/2,-z'
'x+1/2,-y+1/2,z'
loop_
_atom_site_label
_atom_site_fract_x
_atom_site_fract_y
_atom_site_fract_z
Al1 0.1559 0.0000 0.4643
Al2 0.1786 0.2494 0.7984
Tc1 0.0000 0.5000 0.5000
Ag1 0.0000 0.0000 0.0000

# AlTcAg | Alexandria | PBE | optimized geometry
# ΔH_f (0 K) (eV/atom): 0.1012
# Energy above the most stable polymorph in this dataset (eV per atom): 0.000
data_AlTcAg
_symmetry_space_group_name_H-M 'P 3 m 1'
_symmetry_Int_Tables_number 156
_cell_length_a 2.8332
_cell_length_b 2.8332
_cell_length_c 6.7702
_cell_angle_alpha 90.00
_cell_angle_beta 90.00
_cell_angle_gamma 120.00
loop_
_symmetry_equiv_pos_as_xyz
'x,y,z'
'-y,x-y,z'
'-x+y,-x,z'
'-y,-x,z'
'-x+y,y,z'
'x,x-y,z'
loop_
_atom_site_label
_atom_site_fract_x
_atom_site_fract_y
_atom_site_fract_z
Al1 0.0000 0.0000 0.0000
Tc1 0.6667 0.3333 0.3030
Ag1 0.3333 0.6667 0.6633

# AlTcAg2 | Alexandria | PBE | optimized geometry
# ΔH_f (0 K) (eV/atom): 0.1065
data_AlTcAg2
_symmetry_space_group_name_H-M 'C m m 2'
_symmetry_Int_Tables_number 35
_cell_length_a 3.3028
_cell_length_b 4.4170
_cell_length_c 8.8902
_cell_angle_alpha 90.00
_cell_angle_beta 90.00
_cell_angle_gamma 90.00
loop_
_symmetry_equiv_pos_as_xyz
'x,y,z'
'-x,-y,z'
'-x,y,z'
'x,-y,z'
'x+1/2,y+1/2,z'
'-x+1/2,-y+1/2,z'
'-x+1/2,y+1/2,z'
'x+1/2,-y+1/2,z'
loop_
_atom_site_label
_atom_site_fract_x
_atom_site_fract_y
_atom_site_fract_z
Al1 0.0000 0.0000 0.0000
Tc1 0.0000 0.5000 0.2206
Ag1 0.0000 0.0000 0.4835
Ag2 0.0000 0.5000 0.7546

# AlTcAg3 | Alexandria | PBE | optimized geometry
# ΔH_f (0 K) (eV/atom): 1.0894
# Energy above the most stable polymorph in this dataset (eV per atom): 0.000
data_AlTcAg3
_symmetry_space_group_name_H-M 'P m -3 m'
_symmetry_Int_Tables_number 221
_symmetry_space_group_name_Hall '-P 4 2 3'
_cell_length_a 4.7374
_cell_length_b 4.7374
_cell_length_c 4.7374
_cell_angle_alpha 90.00
_cell_angle_beta 90.00
_cell_angle_gamma 90.00
loop_
_atom_site_label
_atom_site_fract_x
_atom_site_fract_y
_atom_site_fract_z
Al1 0.0000 0.0000 0.0000
Tc1 0.5000 0.5000 0.5000
Ag1 0.0000 0.0000 0.5000

# AlTcAg2 | Alexandria | PBE | optimized geometry
# ΔH_f (0 K) (eV/atom): 0.3123
data_AlTcAg2
_symmetry_space_group_name_H-M 'R -3 m'
_symmetry_Int_Tables_number 166
_symmetry_space_group_name_Hall '-R 3 2"'
_cell_length_a 2.8247
_cell_length_b 2.8247
_cell_length_c 28.0057
_cell_angle_alpha 90.00
_cell_angle_beta 90.00
_cell_angle_gamma 120.00
loop_
_atom_site_label
_atom_site_fract_x
_atom_site_fract_y
_atom_site_fract_z
Al1 0.0000 0.0000 0.0000
Tc1 0.0000 0.0000 0.5000
Ag1 0.0000 0.0000 0.2522

# AlTcAg2 | Alexandria | PBE | optimized geometry
# ΔH_f (0 K) (eV/atom): 0.4485
data_AlTcAg2
_symmetry_space_group_name_H-M 'I -4 2 d'
_symmetry_Int_Tables_number 122
_symmetry_space_group_name_Hall 'I -4 2bw'
_cell_length_a 3.7206
_cell_length_b 3.7206
_cell_length_c 20.1765
_cell_angle_alpha 90.00
_cell_angle_beta 90.00
_cell_angle_gamma 90.00
loop_
_atom_site_label
_atom_site_fract_x
_atom_site_fract_y
_atom_site_fract_z
Al1 0.0000 0.0000 0.0000
Tc1 0.0000 0.0000 0.5000
Ag1 0.2490 0.2500 0.1250

# AlTcAg2 | Alexandria | PBE | optimized geometry
# ΔH_f (0 K) (eV/atom): 0.0924
data_AlTcAg2
_symmetry_space_group_name_H-M 'R 3 m'
_symmetry_Int_Tables_number 160
_symmetry_space_group_name_Hall 'R 3 -2"'
_cell_length_a 2.8522
_cell_length_b 2.8522
_cell_length_c 27.5609
_cell_angle_alpha 90.00
_cell_angle_beta 90.00
_cell_angle_gamma 120.00
loop_
_atom_site_label
_atom_site_fract_x
_atom_site_fract_y
_atom_site_fract_z
Al1 0.0000 0.0000 0.0000
Tc1 0.0000 0.0000 0.7420
Ag1 0.0000 0.0000 0.2519
Ag2 0.0000 0.0000 0.4953

# AlTcAg2 | Alexandria | PBE | optimized geometry
# ΔH_f (0 K) (eV/atom): 0.1735
data_AlTcAg2
_symmetry_space_group_name_H-M 'P m m m'
_symmetry_Int_Tables_number 47
_cell_length_a 3.6574
_cell_length_b 3.9938
_cell_length_c 4.4110
_cell_angle_alpha 90.00
_cell_angle_beta 90.00
_cell_angle_gamma 90.00
loop_
_symmetry_equiv_pos_as_xyz
'x,y,z'
'-x,-y,-z'
'-x,-y,z'
'x,y,-z'
'x,-y,-z'
'-x,y,z'
'-x,y,-z'
'x,-y,z'
loop_
_atom_site_label
_atom_site_fract_x
_atom_site_fract_y
_atom_site_fract_z
Al1 0.0000 0.0000 0.0000
Tc1 0.5000 0.5000 0.0000
Ag1 0.0000 0.5000 0.5000
Ag2 0.5000 0.0000 0.5000

# Al2TcAg | Alexandria | PBE | optimized geometry
# ΔH_f (0 K) (eV/atom): -0.0367
data_Al2TcAg
_symmetry_space_group_name_H-M 'P m m 2'
_symmetry_Int_Tables_number 25
_cell_length_a 2.7802
_cell_length_b 4.1333
_cell_length_c 5.4277
_cell_angle_alpha 90.00
_cell_angle_beta 90.00
_cell_angle_gamma 90.00
loop_
_symmetry_equiv_pos_as_xyz
'x,y,z'
'-x,-y,z'
'-x,y,z'
'x,-y,z'
loop_
_atom_site_label
_atom_site_fract_x
_atom_site_fract_y
_atom_site_fract_z
Al1 0.0000 0.0000 0.0000
Al2 0.5000 0.5000 0.3012
Tc1 0.0000 0.0000 0.4798
Ag1 0.5000 0.5000 0.7906

# Al2Tc2Ag | Alexandria | PBE | optimized geometry
# ΔH_f (0 K) (eV/atom): -0.0033
# Energy above the most stable polymorph in this dataset (eV per atom): 0.000
data_Al2Tc2Ag
_symmetry_space_group_name_H-M 'P 4/m b m'
_symmetry_Int_Tables_number 127
_symmetry_space_group_name_Hall '-P 4 2ab'
_cell_length_a 6.7527
_cell_length_b 6.7527
_cell_length_c 3.3196
_cell_angle_alpha 90.00
_cell_angle_beta 90.00
_cell_angle_gamma 90.00
loop_
_atom_site_label
_atom_site_fract_x
_atom_site_fract_y
_atom_site_fract_z
Al1 0.1330 0.3670 0.0000
Tc1 0.1652 0.6652 0.5000
Ag1 0.0000 0.0000 0.0000

# AlTcAg3 | Alexandria | PBE | optimized geometry
# ΔH_f (0 K) (eV/atom): 1.4472
# Energy above the most stable polymorph in this dataset (eV per atom): 0.358
data_AlTcAg3
_symmetry_space_group_name_H-M 'P m -3 m'
_symmetry_Int_Tables_number 221
_symmetry_space_group_name_Hall '-P 4 2 3'
_cell_length_a 5.1509
_cell_length_b 5.1509
_cell_length_c 5.1509
_cell_angle_alpha 90.00
_cell_angle_beta 90.00
_cell_angle_gamma 90.00
loop_
_atom_site_label
_atom_site_fract_x
_atom_site_fract_y
_atom_site_fract_z
Al1 0.0000 0.0000 0.0000
Tc1 0.5000 0.5000 0.5000
Ag1 0.0000 0.5000 0.5000

# Al2TcAg | Alexandria | PBE | optimized geometry
# ΔH_f (0 K) (eV/atom): -0.0452
data_Al2TcAg
_symmetry_space_group_name_H-M 'C 1 2/m 1'
_symmetry_Int_Tables_number 12
_cell_length_a 8.7727
_cell_length_b 2.7662
_cell_length_c 5.2257
_cell_angle_alpha 90.00
_cell_angle_beta 99.64
_cell_angle_gamma 90.00
loop_
_symmetry_equiv_pos_as_xyz
'x,y,z'
'-x,-y,-z'
'-x,y,-z'
'x,-y,z'
'x+1/2,y+1/2,z'
'-x+1/2,-y+1/2,-z'
'-x+1/2,y+1/2,-z'
'x+1/2,-y+1/2,z'
loop_
_atom_site_label
_atom_site_fract_x
_atom_site_fract_y
_atom_site_fract_z
Al1 0.2458 0.0000 0.2329
Tc1 0.0000 0.5000 0.0000
Ag1 0.0000 0.0000 0.5000

# Al2TcAg | Alexandria | PBE | optimized geometry
# ΔH_f (0 K) (eV/atom): -0.2579
data_Al2TcAg
_symmetry_space_group_name_H-M 'P 4/m m m'
_symmetry_Int_Tables_number 123
_symmetry_space_group_name_Hall '-P 4 2'
_cell_length_a 3.1729
_cell_length_b 3.1729
_cell_length_c 6.0827
_cell_angle_alpha 90.00
_cell_angle_beta 90.00
_cell_angle_gamma 90.00
loop_
_atom_site_label
_atom_site_fract_x
_atom_site_fract_y
_atom_site_fract_z
Al1 0.0000 0.0000 0.2175
Tc1 0.5000 0.5000 0.0000
Ag1 0.5000 0.5000 0.5000

# Al2TcAg | Alexandria | PBE | optimized geometry
# ΔH_f (0 K) (eV/atom): 0.1406
data_Al2TcAg
_symmetry_space_group_name_H-M 'C m m 2'
_symmetry_Int_Tables_number 35
_cell_length_a 3.3283
_cell_length_b 4.3911
_cell_length_c 8.7224
_cell_angle_alpha 90.00
_cell_angle_beta 90.00
_cell_angle_gamma 90.00
loop_
_symmetry_equiv_pos_as_xyz
'x,y,z'
'-x,-y,z'
'-x,y,z'
'x,-y,z'
'x+1/2,y+1/2,z'
'-x+1/2,-y+1/2,z'
'-x+1/2,y+1/2,z'
'x+1/2,-y+1/2,z'
loop_
_atom_site_label
_atom_site_fract_x
_atom_site_fract_y
_atom_site_fract_z
Al1 0.0000 0.0000 0.0000
Al2 0.0000 0.5000 0.2530
Tc1 0.0000 0.5000 0.7769
Ag1 0.0000 0.0000 0.5058

# Al2TcAg | Alexandria | PBE | optimized geometry
# ΔH_f (0 K) (eV/atom): -0.1520
data_Al2TcAg
_symmetry_space_group_name_H-M 'C 1 m 1'
_symmetry_Int_Tables_number 8
_cell_length_a 9.6994
_cell_length_b 2.9240
_cell_length_c 4.5359
_cell_angle_alpha 90.00
_cell_angle_beta 107.32
_cell_angle_gamma 90.00
loop_
_symmetry_equiv_pos_as_xyz
'x,y,z'
'x,-y,z'
'x+1/2,y+1/2,z'
'x+1/2,-y+1/2,z'
loop_
_atom_site_label
_atom_site_fract_x
_atom_site_fract_y
_atom_site_fract_z
Al1 0.0000 0.0000 0.0000
Al2 0.2492 0.0000 0.6286
Tc1 0.0115 0.5000 0.5145
Ag1 0.2498 0.5000 0.1367

# Al2TcAg | Alexandria | PBE | optimized geometry
# ΔH_f (0 K) (eV/atom): 0.1199
data_Al2TcAg
_symmetry_space_group_name_H-M 'P 4 m m'
_symmetry_Int_Tables_number 99
_cell_length_a 2.7623
_cell_length_b 2.7623
_cell_length_c 8.3080
_cell_angle_alpha 90.00
_cell_angle_beta 90.00
_cell_angle_gamma 90.00
loop_
_symmetry_equiv_pos_as_xyz
'x,y,z'
'-y,x,z'
'-x,-y,z'
'y,-x,z'
'-x,y,z'
'y,x,z'
'x,-y,z'
'-y,-x,z'
loop_
_atom_site_label
_atom_site_fract_x
_atom_site_fract_y
_atom_site_fract_z
Al1 0.0000 0.0000 0.0000
Al2 0.5000 0.5000 0.2534
Tc1 0.0000 0.0000 0.4780
Ag1 0.5000 0.5000 0.7457

# AlTcAg2 | Alexandria | PBE | optimized geometry
# ΔH_f (0 K) (eV/atom): 0.2921
data_AlTcAg2
_symmetry_space_group_name_H-M 'I 4/m m m'
_symmetry_Int_Tables_number 139
_symmetry_space_group_name_Hall '-I 4 2'
_cell_length_a 3.8098
_cell_length_b 3.8098
_cell_length_c 8.9842
_cell_angle_alpha 90.00
_cell_angle_beta 90.00
_cell_angle_gamma 90.00
loop_
_atom_site_label
_atom_site_fract_x
_atom_site_fract_y
_atom_site_fract_z
Al1 0.0000 0.0000 0.0000
Tc1 0.0000 0.0000 0.5000
Ag1 0.0000 0.5000 0.2500

# Al2Tc2Ag | Alexandria | PBE | optimized geometry
# ΔH_f (0 K) (eV/atom): 0.0016
# Energy above the most stable polymorph in this dataset (eV per atom): 0.005
data_Al2Tc2Ag
_symmetry_space_group_name_H-M 'P 4/m b m'
_symmetry_Int_Tables_number 127
_symmetry_space_group_name_Hall '-P 4 2ab'
_cell_length_a 7.4693
_cell_length_b 7.4693
_cell_length_c 2.8994
_cell_angle_alpha 90.00
_cell_angle_beta 90.00
_cell_angle_gamma 90.00
loop_
_atom_site_label
_atom_site_fract_x
_atom_site_fract_y
_atom_site_fract_z
Al1 0.1824 0.3176 0.0000
Tc1 0.1109 0.6109 0.5000
Ag1 0.0000 0.0000 0.5000